# Ba2Ge4Pt5

A relaxed structure of Ba2Ge4Pt5 (PBE, the Alexandria database).

a b c (Å): 9.3432 7.9559 6.3552
angles (deg): 80.67 57.17 42.16
Sites, in units of the cell vectors:
1 Ba 0.1365 0.1365 0.8635
2 Ba 0.8635 0.8635 0.1365
3 Ge 0.2141 0.5376 0.4624
4 Ge 0.4624 0.7859 0.2141
5 Ge 0.5376 0.2141 0.7859
6 Ge 0.7859 0.4624 0.5376
7 Pt 0.0000 0.0000 0.5000
8 Pt 0.2500 0.2500 0.2500
9 Pt 0.5000 0.5000 0.0000
10 Pt 0.5000 0.5000 0.5000
11 Pt 0.7500 0.7500 0.7500

Properties
energy relative to the elements: -687 meV/atom

# K2AlW

A relaxed structure of K2AlW (PBE, the Alexandria database).

a b c (Å): 5.8621 12.3352 2.8536
angles (deg): 90.00 116.72 90.00
Sites, in units of the cell vectors:
1 K 0.2500 0.2500 0.0000
2 K 0.2500 0.7500 0.0000
3 K 0.7500 0.2500 0.0000
4 K 0.7500 0.7500 0.0000
5 Al 0.0000 0.0000 0.5000
6 Al 0.5000 0.5000 0.5000
7 W 0.0000 0.5000 0.5000
8 W 0.5000 0.0000 0.5000

Properties
energy relative to the elements: 1199 meV/atom

# IrPbCl2

A relaxed structure of IrPbCl2 (PBE, the Alexandria database).

a b c (Å): 4.5522 4.5522 4.1173
angles (deg): 90.00 90.00 90.00
Sites, in units of the cell vectors:
1 Ir 0.0000 0.0000 0.0000
2 Pb 0.5000 0.5000 0.0000
3 Cl 0.0000 0.5000 0.5000
4 Cl 0.5000 0.0000 0.5000

Properties
energy relative to the lowest polymorph listed for this composition: 626 meV/atom
uncorrected formation energy: 0.526 eV/atom

# PrHo2Ge2Pt7

A relaxed structure of PrHo2Ge2Pt7 (PBE, the Alexandria database).

a b c (Å): 4.0986 4.0986 14.1353
angles (deg): 96.85 96.85 89.16
Sites, in units of the cell vectors:
1 Pr 0.0000 0.0000 0.0000
2 Ho 0.1278 0.1278 0.3607
3 Ho 0.8722 0.8722 0.6393
4 Ge 0.3922 0.3922 0.7373
5 Ge 0.6078 0.6078 0.2627
6 Pt 0.0676 0.5672 0.1628
7 Pt 0.3599 0.3599 0.5652
8 Pt 0.4328 0.9324 0.8372
9 Pt 0.5000 0.5000 0.0000
10 Pt 0.5672 0.0676 0.1628
11 Pt 0.6401 0.6401 0.4348
12 Pt 0.9324 0.4328 0.8372

Properties
energy relative to the elements: -904 meV/atom

# CrTe2Rh

A relaxed structure of CrTe2Rh (PBE, the Alexandria database).

a b c (Å): 5.0466 5.0466 15.4174
angles (deg): 90.00 90.00 90.00
Sites, in units of the cell vectors:
1 Cr 0.0000 0.0000 0.0000
2 Cr 0.0000 0.5000 0.2500
3 Cr 0.5000 0.0000 0.7500
4 Cr 0.5000 0.5000 0.5000
5 Te 0.2394 0.2500 0.6250
6 Te 0.2500 0.7394 0.8750
7 Te 0.2500 0.7606 0.3750
8 Te 0.2606 0.2500 0.1250
9 Te 0.7394 0.7500 0.1250
10 Te 0.7500 0.2394 0.3750
11 Te 0.7500 0.2606 0.8750
12 Te 0.7606 0.7500 0.6250
13 Rh 0.0000 0.0000 0.5000
14 Rh 0.0000 0.5000 0.7500
15 Rh 0.5000 0.0000 0.2500
16 Rh 0.5000 0.5000 0.0000

Properties
energy relative to the lowest polymorph listed for this composition: 248 meV/atom
uncorrected formation energy: 0.108 eV/atom

# SrBeTe2N

A relaxed structure of SrBeTe2N (PBE, the Alexandria database).

a b c (Å): 6.2287 6.2287 4.3008
angles (deg): 90.00 90.00 90.00
Sites, in units of the cell vectors:
1 Sr 0.0000 0.0000 0.0000
2 Be 0.5000 0.5000 0.5000
3 Te 0.0000 0.5000 0.0000
4 Te 0.5000 0.0000 0.0000
5 N 0.0000 0.0000 0.5000

Properties
energy relative to the lowest polymorph listed for this composition: 1618 meV/atom
uncorrected formation energy: 1.396 eV/atom

# ZrCd2Au

A relaxed structure of ZrCd2Au (PBE, the Alexandria database).

a b c (Å): 6.8574 6.8574 6.8574
angles (deg): 90.00 90.00 90.00
Sites, in units of the cell vectors:
1 Zr 0.0000 0.0000 0.0000
2 Zr 0.0000 0.5000 0.5000
3 Zr 0.5000 0.0000 0.5000
4 Zr 0.5000 0.5000 0.0000
5 Cd 0.2500 0.2500 0.2500
6 Cd 0.2500 0.2500 0.7500
7 Cd 0.2500 0.7500 0.2500
8 Cd 0.2500 0.7500 0.7500
9 Cd 0.7500 0.2500 0.2500
10 Cd 0.7500 0.2500 0.7500
11 Cd 0.7500 0.7500 0.2500
12 Cd 0.7500 0.7500 0.7500
13 Au 0.0000 0.0000 0.5000
14 Au 0.0000 0.5000 0.0000
15 Au 0.5000 0.0000 0.0000
16 Au 0.5000 0.5000 0.5000

Properties
energy relative to the elements: -107 meV/atom

# LiLaP2

A relaxed structure of LiLaP2 (PBE, the Alexandria database).

a b c (Å): 6.3058 6.5046 3.9710
angles (deg): 90.00 90.00 90.00
Sites, in units of the cell vectors:
1 Li 0.0000 0.0000 0.0000
2 Li 0.5000 0.5000 0.0000
3 La 0.0000 0.5000 0.0000
4 La 0.5000 0.0000 0.0000
5 P 0.2500 0.2500 0.5000
6 P 0.2500 0.7500 0.5000
7 P 0.7500 0.2500 0.5000
8 P 0.7500 0.7500 0.5000

Properties
energy relative to the lowest polymorph listed for this composition: 202 meV/atom
energy relative to the elements: -710 meV/atom